{
  "formula": "Sm2GeI",
  "functional": "PBE",
  "state": "optimized geometry",
  "lattice_angstrom": [[4.268, 0.000, 0.000], [2.134, 3.697, 0.000], [2.134, 1.232, 7.750]],
  "species": ["Sm", "Sm", "I", "Ge"],
  "frac_coords": [[0.267, 0.267, 0.198], [0.066, 0.066, 0.802], [0.499, 0.499, 0.504], [0.668, 0.668, 0.996]],
  "vol_a3_per_cell": 122.3,
  "relative_energy_ev_per_atom": 0.020,
  "energy_ev_per_atom": -4.8904,
  "crystal_system": "trigonal",
  "n_ef_per_ev_cell": 2.6
}

***

{
  "formula": "Ni2GeCl",
  "functional": "PBE",
  "state": "optimized geometry",
  "lattice_angstrom": [[5.631, 0.000, 0.000], [0.000, 5.631, 0.000], [2.816, 2.816, 4.486]],
  "species": ["Ni", "Ni", "Ni", "Ni", "Ge", "Ge", "Cl", "Cl"],
  "frac_coords": [[0.875, 0.868, 0.750], [0.618, 0.125, 0.250], [0.375, 0.382, 0.750], [0.132, 0.625, 0.250], [0.000, 0.000, 0.000], [0.750, 0.250, 0.500], [0.250, 0.750, 0.500], [0.500, 0.500, 0.000]],
  "vol_a3_per_cell": 142.3,
  "relative_energy_ev_per_atom": 0.000,
  "energy_ev_per_atom": -4.3902,
  "crystal_system": "tetragonal",
  "n_ef_per_ev_cell": 8.8
}

***

{
  "formula": "Cd2Si2Te",
  "functional": "PBE",
  "state": "optimized geometry",
  "lattice_angstrom": [[3.703, 0.000, 0.000], [0.000, 3.703, 0.000], [1.851, 1.851, 8.135]],
  "species": ["Si", "Si", "Cd", "Cd", "Te"],
  "frac_coords": [[0.250, 0.750, 0.500], [0.750, 0.250, 0.500], [0.607, 0.607, 0.786], [0.393, 0.393, 0.214], [0.000, 0.000, 0.000]],
  "vol_a3_per_cell": 111.5,
  "energy_ev_per_atom": -2.9126,
  "crystal_system": "tetragonal",
  "n_ef_per_ev_cell": 2.0
}

***

{
  "formula": "Sr3TaW",
  "functional": "PBE",
  "state": "optimized geometry",
  "lattice_angstrom": [[-1.922, 4.477, 3.062], [-5.225, -0.656, -2.321], [-1.456, -3.555, 4.284]],
  "species": ["W", "Sr", "Sr", "Sr", "Ta"],
  "frac_coords": [[0.000, 0.000, 0.000], [0.000, 0.500, 0.000], [0.000, 0.000, 0.500], [0.500, 0.000, 0.000], [0.500, 0.500, 0.500]],
  "delta_e_f_ev_per_fu": 9.78,
  "vol_a3_per_cell": 190.5,
  "relative_energy_ev_per_atom": 0.000,
  "energy_ev_per_atom": -4.0144,
  "crystal_system": "cubic",
  "n_ef_per_ev_cell": 9.1
}

***

{
  "formula": "Pm2Cd3Pb",
  "functional": "PBE",
  "state": "optimized geometry",
  "lattice_angstrom": [[6.070, 0.059, -1.392], [-2.331, 5.605, -1.392], [-0.052, -0.079, 9.434]],
  "species": ["Pm", "Pm", "Pm", "Pm", "Cd", "Cd", "Cd", "Cd", "Cd", "Cd", "Pb", "Pb"],
  "frac_coords": [[0.248, 0.248, 0.000], [0.752, 0.752, 0.000], [0.250, 0.750, 0.500], [0.750, 0.250, 0.500], [0.837, 0.837, 0.674], [0.163, 0.163, 0.326], [0.673, 0.164, 0.838], [0.836, 0.327, 0.162], [0.164, 0.673, 0.838], [0.327, 0.836, 0.162], [0.666, 0.666, 0.332], [0.334, 0.334, 0.668]],
  "delta_e_f_ev_per_fu": -2.24,
  "vol_a3_per_cell": 320.9,
  "relative_energy_ev_per_atom": 0.000,
  "energy_ev_per_atom": -3.0326,
  "crystal_system": "orthorhombic",
  "n_ef_per_ev_cell": 8.5
}

***

{
  "formula": "LiDyAu",
  "functional": "PBE",
  "state": "optimized geometry",
  "lattice_angstrom": [[-1.897, -2.491, -2.582], [-2.139, -1.559, 3.076], [-5.674, 5.513, -1.151]],
  "species": ["Au", "Au", "Dy", "Dy", "Li", "Li"],
  "frac_coords": [[0.500, 0.000, 0.757], [0.000, 0.500, 0.243], [0.000, 0.500, 0.849], [0.500, 0.000, 0.151], [0.000, 0.000, 0.500], [0.500, 0.500, 0.500]],
  "delta_e_f_ev_per_fu": -1.79,
  "vol_a3_per_cell": 131.7,
  "relative_energy_ev_per_atom": 0.024,
  "energy_ev_per_atom": -3.8598,
  "crystal_system": "tetragonal",
  "n_ef_per_ev_cell": 4.6
}

***

{
  "formula": "SnTePS2",
  "functional": "PBE",
  "state": "optimized geometry",
  "lattice_angstrom": [[-4.760, -0.036, 1.255], [-0.208, -6.032, -0.960], [1.244, -0.791, 4.697]],
  "species": ["S", "S", "Te", "P", "Sn"],
  "frac_coords": [[0.500, 0.000, 0.000], [0.000, 0.000, 0.500], [0.000, 0.000, 0.000], [0.500, 0.500, 0.500], [0.000, 0.500, 0.000]],
  "vol_a3_per_cell": 148.1,
  "relative_energy_ev_per_atom": 0.372,
  "energy_ev_per_atom": -3.2186,
  "crystal_system": "tetragonal",
  "n_ef_per_ev_cell": 3.8
}

***

{
  "formula": "Hf2Al8Co",
  "functional": "PBE",
  "state": "optimized geometry",
  "lattice_angstrom": [[-0.367, 0.519, -4.055], [-4.055, -0.561, 0.295], [-1.352, 10.550, 1.473]],
  "species": ["Al", "Al", "Al", "Al", "Al", "Al", "Al", "Al", "Co", "Hf", "Hf"],
  "frac_coords": [[0.500, 0.500, 0.692], [0.000, 0.500, 0.878], [0.500, 0.000, 0.500], [0.000, 0.500, 0.500], [0.500, 0.500, 0.308], [0.500, 0.000, 0.122], [0.000, 0.500, 0.122], [0.500, 0.000, 0.878], [0.000, 0.000, 0.000], [0.000, 0.000, 0.312], [0.000, 0.000, 0.688]],
  "delta_e_f_ev_per_fu": -4.63,
  "vol_a3_per_cell": 180.9,
  "energy_ev_per_atom": -5.5985,
  "crystal_system": "tetragonal",
  "n_ef_per_ev_cell": 4.0
}